Entry from Alexandria: crystalline Na3In2Pb at its relaxed geometry (GGA-PBE).

Cell and atoms, written as POSCAR:
```
Na3In2Pb
1.0
7.0040 0.0000 0.0000
0.0000 5.3889 0.0000
-2.1157 0.0000 8.7371
Na In Pb
6 4 2
direct
0.0292 0.2500 0.1306 Na
0.2035 0.2500 0.7895 Na
0.3667 0.2500 0.4597 Na
0.6333 0.7500 0.5403 Na
0.7965 0.7500 0.2105 Na
0.9708 0.7500 0.8694 Na
0.1274 0.7500 0.5348 In
0.4572 0.7500 0.8557 In
0.5428 0.2500 0.1443 In
0.8726 0.2500 0.4652 In
0.3021 0.7500 0.1971 Pb
0.6979 0.2500 0.8029 Pb
```

Properties
Total DFT energy (no corrections), eV per atom: -2.3044
Symmetry: P2_1/m, No. 11
Total moment, μB per formula unit: 0.00
Energy of formation, eV/f.u.: -0.7